Record 1
Material: KCa3As
Method: DFT, GGA-PBEsol
State: optimized geometry

Lattice parameters (Å, degrees): 5.808 5.808 5.808 90.00 90.00 90.00
Element x y z (fractional)
1 K 0.000 0.000 0.000
2 Ca 0.000 0.500 0.500
3 Ca 0.500 0.000 0.500
4 Ca 0.500 0.500 0.000
5 As 0.500 0.500 0.500

Properties
Formation energy in eV per atom: -0.405
Total moment in Bohr magnetons per cell: 1.2
Energy in eV/cell: -14.664
Density of states at the Fermi level in states/eV per cell: 4.75

***

Record 2
Material: TaZn2Ag
Method: DFT, GGA-PBEsol
State: optimized geometry

Lattice parameters (Å, degrees): 5.486 5.486 5.486 151.23 126.11 62.23
Element x y z (fractional)
1 Ta 0.000 0.000 0.000
2 Zn 0.257 0.757 0.500
3 Zn 0.743 0.243 0.500
4 Ag 0.500 0.500 0.000

Properties
Formation energy in eV per atom: 0.230
Total moment in Bohr magnetons per cell: 0.0
Energy in eV/cell: -18.107
Relative energy among the computed polymorphs in meV per atom: 274
Density of states at the Fermi level in states/eV per cell: 2.14

***

Record 3
Material: Cr13Mo3
Method: DFT, GGA-PBEsol
State: optimized geometry

Lattice parameters (Å, degrees): 5.768 5.763 5.763 89.77 90.00 90.00
Element x y z (fractional)
1 Cr 0.000 0.000 0.000
2 Cr 0.000 0.000 0.488
3 Cr 0.000 0.488 0.000
4 Cr 0.000 0.488 0.488
5 Cr 0.247 0.246 0.740
6 Cr 0.247 0.247 0.247
7 Cr 0.247 0.740 0.246
8 Cr 0.500 0.001 0.490
9 Cr 0.500 0.488 0.488
10 Cr 0.500 0.490 0.001
11 Cr 0.753 0.246 0.740
12 Cr 0.753 0.247 0.247
13 Cr 0.753 0.740 0.246
14 Mo 0.248 0.740 0.740
15 Mo 0.500 0.001 0.001
16 Mo 0.752 0.740 0.740

Properties
Formation energy in eV per atom: 0.072
Total moment in Bohr magnetons per cell: 0.0
Energy in eV/cell: -167.297
Density of states at the Fermi level in states/eV per cell: 11.10

***

Record 4
Material: HfScTaAl2
Method: DFT, GGA-PBEsol
State: optimized geometry

Lattice parameters (Å, degrees): 4.907 4.907 4.609 90.00 90.00 90.00
Element x y z (fractional)
1 Hf 0.000 0.000 0.000
2 Sc 0.000 0.000 0.500
3 Ta 0.500 0.500 0.500
4 Al 0.000 0.500 0.000
5 Al 0.500 0.000 0.000

Properties
Formation energy in eV per atom: 1.487
Total moment in Bohr magnetons per cell: 0.0
Energy in eV/cell: -30.407
Density of states at the Fermi level in states/eV per cell: 4.04